## Y2InPt (PBE)

Data for a geometry-optimized Y2InPt structure.

Properties
- uncorrected energy (eV/atom) = -6.199
- volume (Å³/cell) = 191
- E_form (eV per formula unit) = -3.089
- N(E_F) (states/eV/atom) = 0.66

The structure in CIF format:
```
data_Y2InPt
_symmetry_space_group_name_H-M 'C m m m'
_symmetry_Int_Tables_number 65
_symmetry_space_group_name_Hall '-C 2 2'
_cell_length_a 7.0733
_cell_length_b 7.0919
_cell_length_c 3.8013
_cell_angle_alpha 90.00
_cell_angle_beta 90.00
_cell_angle_gamma 90.00
loop_
_atom_site_label
_atom_site_type_symbol
_atom_site_fract_x
_atom_site_fract_y
_atom_site_fract_z
Y1 Y 0.2500 0.2500 0.0000
In1 In 0.0000 0.0000 0.5000
Pt1 Pt 0.0000 0.5000 0.5000
```

## Y2InPt (PBE)

Data for a geometry-optimized Y2InPt structure.

Properties
- uncorrected energy (eV/atom) = -5.912
- volume (Å³/cell) = 434
- E_form (eV per formula unit) = -1.941
- N(E_F) (states/eV/atom) = 1.07

The structure in CIF format:
```
data_Y2InPt
_symmetry_space_group_name_H-M 'I -4 2 d'
_symmetry_Int_Tables_number 122
_symmetry_space_group_name_Hall 'I -4 2bw'
_cell_length_a 8.0469
_cell_length_b 8.0469
_cell_length_c 6.7033
_cell_angle_alpha 90.00
_cell_angle_beta 90.00
_cell_angle_gamma 90.00
loop_
_atom_site_label
_atom_site_type_symbol
_atom_site_fract_x
_atom_site_fract_y
_atom_site_fract_z
Y1 Y 0.2055 0.7500 0.1250
In1 In 0.0000 0.0000 0.5000
Pt1 Pt 0.0000 0.0000 0.0000
```

## Y8In2Pt (PBE)

Data for a geometry-optimized Y8In2Pt structure.

Properties
- uncorrected energy (eV/atom) = -6.159
- volume (Å³/cell) = 634
- E_form (eV per formula unit) = -4.520
- N(E_F) (states/eV/atom) = 1.03

The structure in CIF format:
```
data_Y8In2Pt
_symmetry_space_group_name_H-M 'C 1 2/m 1'
_symmetry_Int_Tables_number 12
_cell_length_a 19.1386
_cell_length_b 5.0890
_cell_length_c 6.7232
_cell_angle_alpha 90.00
_cell_angle_beta 104.47
_cell_angle_gamma 90.00
loop_
_symmetry_equiv_pos_as_xyz
'x,y,z'
'-x,-y,-z'
'-x,y,-z'
'x,-y,z'
'x+1/2,y+1/2,z'
'-x+1/2,-y+1/2,-z'
'-x+1/2,y+1/2,-z'
'x+1/2,-y+1/2,z'
loop_
_atom_site_label
_atom_site_type_symbol
_atom_site_fract_x
_atom_site_fract_y
_atom_site_fract_z
Y1 Y 0.0202 0.0000 0.2804
Y2 Y 0.0901 0.5000 0.9531
Y3 Y 0.1478 0.5000 0.4863
Y4 Y 0.2135 0.0000 0.8157
In1 In 0.1834 0.0000 0.2524
Pt1 Pt 0.0000 0.5000 0.5000
```

## Y3In2Pt3 (PBE)

Data for a geometry-optimized Y3In2Pt3 structure.

Properties
- uncorrected energy (eV/atom) = -6.339
- volume (Å³/cell) = 364
- E_form (eV per formula unit) = -7.719
- N(E_F) (states/eV/atom) = 0.72

The structure in CIF format:
```
data_Y3In2Pt3
_symmetry_space_group_name_H-M 'P 63/m c m'
_symmetry_Int_Tables_number 193
_symmetry_space_group_name_Hall '-P 6c 2'
_cell_length_a 8.4675
_cell_length_b 8.4675
_cell_length_c 5.8603
_cell_angle_alpha 90.00
_cell_angle_beta 90.00
_cell_angle_gamma 120.00
loop_
_atom_site_label
_atom_site_type_symbol
_atom_site_fract_x
_atom_site_fract_y
_atom_site_fract_z
Y1 Y 0.0000 0.2783 0.2500
In1 In 0.3333 0.6667 0.0000
Pt1 Pt 0.0000 0.3799 0.7500
```

## Y3In2Pt (PBE)

Data for a geometry-optimized Y3In2Pt structure.

Properties
- uncorrected energy (eV/atom) = -5.852
- volume (Å³/cell) = 613
- E_form (eV per formula unit) = -4.205
- N(E_F) (states/eV/atom) = 0.65

The structure in CIF format:
```
data_Y3In2Pt
_symmetry_space_group_name_H-M 'P n m a'
_symmetry_Int_Tables_number 62
_cell_length_a 13.1451
_cell_length_b 4.8012
_cell_length_c 9.7119
_cell_angle_alpha 90.00
_cell_angle_beta 90.00
_cell_angle_gamma 90.00
loop_
_symmetry_equiv_pos_as_xyz
'x,y,z'
'-x,-y,-z'
'-x+1/2,-y,z+1/2'
'x+1/2,y,-z+1/2'
'x+1/2,-y+1/2,-z+1/2'
'-x+1/2,y+1/2,z+1/2'
'-x,y+1/2,-z'
'x,-y+1/2,z'
loop_
_atom_site_label
_atom_site_type_symbol
_atom_site_fract_x
_atom_site_fract_y
_atom_site_fract_z
Y1 Y 0.0714 0.2500 0.0834
Y2 Y 0.1077 0.7500 0.5539
Y3 Y 0.2295 0.7500 0.2398
In1 In 0.0195 0.2500 0.7351
In2 In 0.1796 0.7500 0.9142
Pt1 Pt 0.1095 0.2500 0.3645
```

## YZn2InPt (PBE)

Data for a geometry-optimized YZn2InPt structure.

Properties
- uncorrected energy (eV/atom) = -3.069
- volume (Å³/cell) = 135
- E_form (eV per formula unit) = 2.447
- N(E_F) (states/eV/atom) = 0.35

The structure in CIF format:
```
data_YZn2InPt
_symmetry_space_group_name_H-M 'P 4/m m m'
_symmetry_Int_Tables_number 123
_symmetry_space_group_name_Hall '-P 4 2'
_cell_length_a 4.7602
_cell_length_b 4.7602
_cell_length_c 5.9653
_cell_angle_alpha 90.00
_cell_angle_beta 90.00
_cell_angle_gamma 90.00
loop_
_atom_site_label
_atom_site_type_symbol
_atom_site_fract_x
_atom_site_fract_y
_atom_site_fract_z
Y1 Y 0.0000 0.0000 0.0000
Zn1 Zn 0.0000 0.5000 0.5000
In1 In 0.0000 0.0000 0.5000
Pt1 Pt 0.5000 0.5000 0.0000
```

## YZrInPt2 (PBE)

Data for a geometry-optimized YZrInPt2 structure.

Properties
- uncorrected energy (eV/atom) = -5.273
- volume (Å³/cell) = 136
- E_form (eV per formula unit) = 3.467
- N(E_F) (states/eV/atom) = 0.92

The structure in CIF format:
```
data_YZrInPt2
_symmetry_space_group_name_H-M 'P 4/m m m'
_symmetry_Int_Tables_number 123
_symmetry_space_group_name_Hall '-P 4 2'
_cell_length_a 4.9992
_cell_length_b 4.9992
_cell_length_c 5.4350
_cell_angle_alpha 90.00
_cell_angle_beta 90.00
_cell_angle_gamma 90.00
loop_
_atom_site_label
_atom_site_type_symbol
_atom_site_fract_x
_atom_site_fract_y
_atom_site_fract_z
Y1 Y 0.0000 0.0000 0.0000
Zr1 Zr 0.5000 0.5000 0.5000
In1 In 0.0000 0.0000 0.5000
Pt1 Pt 0.0000 0.5000 0.0000
```

## YbInPt (PBE)

Data for a geometry-optimized YbInPt structure.

Properties
- uncorrected energy (eV/atom) = -4.375
- volume (Å³/cell) = 199
- E_form (eV per formula unit) = -2.819
- N(E_F) (states/eV/atom) = 0.40

The structure in CIF format:
```
data_YbInPt
_symmetry_space_group_name_H-M 'P -6 2 m'
_symmetry_Int_Tables_number 189
_symmetry_space_group_name_Hall 'P -6 -2'
_cell_length_a 7.5684
_cell_length_b 7.5684
_cell_length_c 4.0019
_cell_angle_alpha 90.00
_cell_angle_beta 90.00
_cell_angle_gamma 120.00
loop_
_atom_site_label
_atom_site_type_symbol
_atom_site_fract_x
_atom_site_fract_y
_atom_site_fract_z
Yb1 Yb 0.0000 0.4055 0.0000
In1 In 0.0000 0.7395 0.5000
Pt1 Pt 0.0000 0.0000 0.0000
Pt2 Pt 0.3333 0.6667 0.5000
```